# 1
DFT (PBE) results for a relaxed CsAgI2Cl6 crystal.

Symmetry: P-1, No. 2
Crystal system: triclinic
ΔE_f (raw) in meV/atom: -560

abc: 7.878 9.269 8.421
angles: 82.05 120.73 126.32
Fractional coordinates of all 10 atoms:
Cl (0.968, 0.881, 0.248)
Cl (0.411, 0.103, 0.150)
Cl (0.137, 0.395, 0.189)
Cl (0.855, 0.600, 0.771)
Cl (0.025, 0.114, 0.713)
Cl (0.582, 0.892, 0.811)
Ag (0.997, 0.998, 0.981)
I (0.477, 0.355, 0.772)
I (0.516, 0.640, 0.189)
Cs (0.997, 0.498, 0.480)

***

# 2
DFT (PBE) results for a relaxed Ac2PaN4 crystal.

Symmetry: Cmmm, No. 65
Energy above the lowest structure with this stoichiometry in eV/atom: 0.150
Crystal system: orthorhombic
ΔE_f (raw) in meV/atom: -1096

abc: 3.768 6.414 6.414
angles: 103.83 90.00 90.00
Fractional coordinates of all 7 atoms:
N (0.000, 0.784, 0.216)
N (0.500, 0.821, 0.821)
N (0.000, 0.216, 0.784)
N (0.500, 0.179, 0.179)
Pa (0.000, 0.000, 0.000)
Ac (0.500, 0.500, 0.000)
Ac (0.500, 0.000, 0.500)

***

# 3
DFT (PBE) results for a relaxed Zr4FeTc3 crystal.

Symmetry: P4/mmm, No. 123
DFT formation energy in kJ/mol of atoms: -29.5
Crystal system: tetragonal

abc: 3.285 3.285 13.041
angles: 90.00 90.00 90.00
Fractional coordinates of all 8 atoms:
Zr (0.000, 0.000, 0.626)
Zr (0.000, 0.000, 0.878)
Zr (0.000, 0.000, 0.122)
Zr (0.000, 0.000, 0.374)
Tc (0.500, 0.500, 0.245)
Tc (0.500, 0.500, 0.755)
Tc (0.500, 0.500, 0.500)
Fe (0.500, 0.500, 0.000)

***

> What is the formula in the first record?

CsAgI2Cl6